TlSi2Ir2: optimized geometry, PBE.

abc: 3.762 3.762 11.965
angles: 90.00 90.00 90.00
Space group I4/mmm (No. 139)
Inequivalent atoms, fractional coordinates:
Tl1 0.000 0.000 0.000 x2
Si1 0.000 0.500 0.250 x4
Ir1 0.000 0.000 0.373 x4

Values from the calculation:
Calculated total energy in eV per atom: -6.547
Density in g/cm3: 12.651
Crystal system: tetragonal